1.
## TbZn9Co2 (PBE-GGA)

Data for TbZn9Co2 after structural relaxation.

a b c (Å): 8.4387 8.4387 2.9964
angles (deg): 90.00 90.00 120.00
Space group P6/mmm (No. 191)
Asymmetric unit:
Tb 0.0000 0.0000 0.0000 x1
Zn 0.0000 0.5000 0.0000 x3
Zn 0.1906 0.3813 0.5000 x6
Co 0.3333 0.6667 0.0000 x2

Computed properties:
Energy of formation from the pure elements, meV/atom: -84
Crystal system: hexagonal

2.
## TbZn4Co (PBE-GGA)

Data for TbZn4Co after structural relaxation.

a b c (Å): 7.521 3.964 6.727
angles (deg): 90.00 90.00 90.00
Space group Pmma (No. 51)
Asymmetric unit:
Tb 0.250 0.000 0.107 x2
Zn 0.000 0.000 0.500 x2
Zn 0.060 0.500 0.805 x4
Zn 0.250 0.500 0.459 x2
Co 0.250 0.000 0.714 x2

Computed properties:
Energy of formation from the pure elements, meV/atom: -233
Crystal system: orthorhombic

3.
## Tb8ZnCo2 (PBE-GGA)

Data for Tb8ZnCo2 after structural relaxation.

a b c (Å): 17.352 4.998 6.756
angles (deg): 90.00 106.95 90.00
Space group C2/m (No. 12)
Asymmetric unit:
Tb 0.039 0.000 0.280 x4
Tb 0.095 0.500 0.970 x4
Tb 0.176 0.500 0.482 x4
Tb 0.199 0.000 0.828 x4
Zn 0.000 0.500 0.500 x2
Co 0.187 0.000 0.213 x4

Computed properties:
Energy of formation from the pure elements, meV/atom: -115
Crystal system: monoclinic

4.
## TbZnCo (PBE-GGA)

Data for TbZnCo after structural relaxation.

a b c (Å): 5.893 5.345 7.450
angles (deg): 90.00 111.96 90.00
Space group P2_1/c (No. 14)
Asymmetric unit:
Tb 0.184 0.111 0.373 x4
Zn 0.409 0.603 0.301 x4
Co 0.176 0.612 0.526 x4

Computed properties:
Energy of formation from the pure elements, meV/atom: -271
Crystal system: monoclinic

5.
## TbZnCo (PBE-GGA)

Data for TbZnCo after structural relaxation.

a b c (Å): 11.846 3.931 6.957
angles (deg): 90.00 90.00 90.00
Space group Pmma (No. 51)
Asymmetric unit:
Tb 0.044 0.000 0.249 x4
Tb 0.250 0.000 0.865 x2
Zn 0.135 0.500 0.578 x4
Zn 0.250 0.500 0.212 x2
Co 0.090 0.500 0.952 x4
Co 0.250 0.000 0.448 x2

Computed properties:
Energy of formation from the pure elements, meV/atom: -271
Crystal system: orthorhombic

6.
## TbZn2Co (PBE-GGA)

Data for TbZn2Co after structural relaxation.

a b c (Å): 14.558 7.243 5.191
angles (deg): 90.00 90.00 90.00
Space group Pnma (No. 62)
Asymmetric unit:
Tb 0.103 0.250 0.242 x4
Tb 0.139 0.750 0.453 x4
Zn 0.041 0.058 0.757 x8
Zn 0.210 0.550 0.937 x8
Co 0.071 0.750 0.982 x4
Co 0.190 0.250 0.703 x4

Computed properties:
Energy of formation from the pure elements, meV/atom: -278
Crystal system: orthorhombic

7.
## TbZn6Co6 (PBE-GGA)

Data for TbZn6Co6 after structural relaxation.

a b c (Å): 4.908 8.524 8.551
angles (deg): 90.00 90.00 90.00
Space group Immm (No. 71)
Asymmetric unit:
Tb 0.000 0.000 0.000 x2
Zn 0.000 0.000 0.339 x4
Zn 0.000 0.299 0.500 x4
Zn 0.000 0.350 0.000 x4
Co 0.000 0.500 0.265 x4
Co 0.250 0.250 0.250 x8

Computed properties:
Energy of formation from the pure elements, meV/atom: -125
Crystal system: orthorhombic

8.
## TbZn4Co (PBE-GGA)

Data for TbZn4Co after structural relaxation.

a b c (Å): 7.236 7.236 7.236
angles (deg): 90.00 90.00 90.00
Space group F-43m (No. 216)
Asymmetric unit:
Tb 0.000 0.000 0.000 x4
Zn 0.124 0.124 0.624 x16
Co 0.250 0.250 0.250 x4

Computed properties:
Energy of formation from the pure elements, meV/atom: -174
Crystal system: cubic

9.
## TbZrZnCo (PBE-GGA)

Data for TbZrZnCo after structural relaxation.

a b c (Å): 6.733 6.733 6.733
angles (deg): 90.00 90.00 90.00
Space group F-43m (No. 216)
Asymmetric unit:
Tb 0.000 0.000 0.000 x4
Zr 0.000 0.000 0.500 x4
Zn 0.250 0.250 0.250 x4
Co 0.250 0.250 0.750 x4

Computed properties:
Energy of formation from the pure elements, meV/atom: -153
Crystal system: cubic

10.
## TbZr2Co2 (PBE-GGA)

Data for TbZr2Co2 after structural relaxation.

a b c (Å): 11.158 3.584 5.120
angles (deg): 90.00 101.96 90.00
Space group C2/m (No. 12)
Asymmetric unit:
Tb 0.000 0.000 0.000 x2
Zr 0.146 0.500 0.566 x4
Co 0.229 0.500 0.131 x4

Computed properties:
Energy of formation from the pure elements, meV/atom: -148
Crystal system: monoclinic

11.
## Tb2Zr3Co2 (PBE-GGA)

Data for Tb2Zr3Co2 after structural relaxation.

a b c (Å): 11.476 3.473 8.342
angles (deg): 90.00 114.98 90.00
Space group C2/m (No. 12)
Asymmetric unit:
Tb 0.156 0.000 0.300 x4
Zr 0.000 0.500 0.500 x2
Zr 0.120 0.500 0.933 x4
Co 0.155 0.000 0.736 x4

Computed properties:
Energy of formation from the pure elements, meV/atom: -184
Crystal system: monoclinic

12.
## TbZrCo10 (PBE-GGA)

Data for TbZrCo10 after structural relaxation.

a b c (Å): 3.959 4.840 8.398
angles (deg): 90.00 90.00 90.00
Space group Pmmm (No. 47)
Asymmetric unit:
Tb 0.000 0.000 0.000 x1
Zr 0.000 0.500 0.500 x1
Co 0.000 0.000 0.342 x2
Co 0.000 0.500 0.177 x2
Co 0.500 0.000 0.500 x1
Co 0.500 0.253 0.255 x4
Co 0.500 0.500 0.000 x1

Computed properties:
Energy of formation from the pure elements, meV/atom: -110
Crystal system: orthorhombic

Which of these has the highest energy of formation from the pure elements?
TbZn9Co2